1.
Tl3Hg2As: relaxed, PBE-GGA.

```
Tl3Hg2As
1.0
-0.988 -2.403 -6.796
1.326 -6.464 3.148
-6.963 1.669 1.478
Hg Tl As
4 6 2
Cartesian
0.473 -6.471 1.327
-1.102 -6.611 -2.289
-7.099 -0.727 -3.497
-5.523 -0.587 0.119
-5.035 -3.786 -0.103
0.663 -3.232 1.574
-1.591 -3.412 -2.067
-3.976 -0.367 -2.659
-2.435 -0.897 1.061
-4.191 -6.300 -3.231
-4.440 -3.336 -2.961
-2.185 -3.862 0.792
```

Electronic total energy   -2.029 eV/atom
DFT formation energy   0.03 eV per atom

---

2.
Tl12Hg3As5: relaxed, PBE-GGA.

```
Tl12Hg3As5
1.0
-5.862 -9.534 10.297
14.886 1.732 2.591
-6.934 13.494 1.059
As Tl Hg
20 48 12
Cartesian
7.627 -1.070 8.968
1.433 7.148 9.306
-3.467 6.747 0.530
10.692 0.819 4.974
-6.398 1.980 5.678
-2.931 -4.767 5.148
1.044 2.846 6.974
-0.217 6.700 4.208
2.306 -1.008 9.739
3.976 7.613 1.825
0.656 -1.455 4.642
7.443 0.866 1.296
-8.603 4.873 8.973
4.512 -3.901 6.444
-5.538 6.762 4.980
3.116 2.831 2.524
-1.027 2.861 11.424
0.000 0.000 0.000
7.831 5.168 3.628
-5.742 0.524 10.320
8.031 0.416 4.150
-0.737 -3.205 6.350
12.104 2.495 3.208
6.899 3.620 5.786
6.594 1.548 8.925
6.248 7.494 3.701
6.131 5.290 9.081
3.291 3.610 5.223
-4.505 4.144 5.023
-1.419 9.185 4.761
1.630 3.352 12.212
3.050 -0.011 12.265
-4.469 -2.832 6.757
-0.465 1.073 5.165
2.826 8.898 7.597
-0.961 5.704 1.683
-2.768 -6.032 7.808
2.546 7.207 4.373
8.627 -5.613 10.952
-1.342 7.193 8.832
-8.487 -0.057 10.097
6.558 8.524 7.191
-5.942 5.276 9.797
3.431 -1.500 5.115
-1.863 -4.678 11.076
-4.042 0.403 4.866
3.125 0.988 7.932
-4.523 8.265 2.827
-2.624 5.172 11.590
0.351 11.418 2.477
1.738 -5.726 11.471
6.612 -2.573 11.120
-6.538 11.305 2.996
4.713 0.520 2.357
6.888 -2.154 6.478
-10.015 3.197 10.740
2.554 4.620 8.783
0.459 2.340 1.735
-4.810 2.073 8.161
-1.036 4.704 6.016
4.857 11.724 6.140
-0.457 -1.515 9.575
-1.202 2.082 8.724
-4.159 -1.802 10.246
3.508 -3.493 9.187
3.952 10.371 2.871
-4.799 7.846 7.469
10.576 5.749 3.850
-2.543 -0.466 7.481
1.770 10.506 5.121
-3.079 11.049 2.862
-3.283 4.811 8.202
5.168 -5.356 11.086
7.091 10.445 4.349
0.319 -4.814 8.827
-2.205 2.893 3.295
4.632 6.158 6.467
-5.002 -4.752 9.599
5.372 0.881 5.746
4.294 2.799 10.652
```

Electronic total energy   -2.513 eV/atom
DFT formation energy   0.11 eV per atom

---

Repeat the first record exactly.
Tl3Hg2As: relaxed, PBE-GGA.

```
Tl3Hg2As
1.0
-0.988 -2.403 -6.796
1.326 -6.464 3.148
-6.963 1.669 1.478
Hg Tl As
4 6 2
Cartesian
0.473 -6.471 1.327
-1.102 -6.611 -2.289
-7.099 -0.727 -3.497
-5.523 -0.587 0.119
-5.035 -3.786 -0.103
0.663 -3.232 1.574
-1.591 -3.412 -2.067
-3.976 -0.367 -2.659
-2.435 -0.897 1.061
-4.191 -6.300 -3.231
-4.440 -3.336 -2.961
-2.185 -3.862 0.792
```

Electronic total energy   -2.029 eV/atom
DFT formation energy   0.03 eV per atom